# 1
! Nd2TmNb (GGA-PBE, relaxed); values from VASP
&SYSTEM
  ibrav = 0, nat = 4, ntyp = 3
/
ATOMIC_SPECIES
Nd 144.24 Nd.upf
Tm 168.93 Tm.upf
Nb 92.91 Nb.upf
ATOMIC_POSITIONS angstrom
Nd 0.000 0.000 2.922
Nd 0.000 0.000 32.234
Tm 0.000 0.000 17.578
Nb 0.000 0.000 0.000
CELL_PARAMETERS angstrom
1.676 0.968 11.719
-1.676 0.968 11.719
0.000 -1.935 11.719
! Formation energy = 13.05 kcal/mol of atoms
! V = 28.5 Å³/atom
! Electronic total energy = -5.45 eV per atom
! Mass density = 8.016 g cm⁻³
! N(E_F) = 4.81 states/eV/f.u.

# 2
! NdNb2V (GGA-PBE, relaxed); values from VASP
&SYSTEM
  ibrav = 0, nat = 4, ntyp = 3
/
ATOMIC_SPECIES
Nd 144.24 Nd.upf
Nb 92.91 Nb.upf
V 50.94 V.upf
ATOMIC_POSITIONS angstrom
Nd 0.000 0.000 0.000
Nb 0.000 0.000 3.015
Nb 0.000 0.000 26.757
V 0.000 0.000 14.886
CELL_PARAMETERS angstrom
1.554 0.897 9.924
-1.554 0.897 9.924
0.000 -1.794 9.924
! Formation energy = 12.85 kcal/mol of atoms
! V = 20.8 Å³/atom
! Electronic total energy = -7.95 eV per atom
! Mass density = 7.622 g cm⁻³
! N(E_F) = 4.69 states/eV/f.u.

# 3
! NdYNb (GGA-PBE, relaxed); values from VASP
&SYSTEM
  ibrav = 0, nat = 6, ntyp = 3
/
ATOMIC_SPECIES
Nd 144.24 Nd.upf
Y 88.91 Y.upf
Nb 92.91 Nb.upf
ATOMIC_POSITIONS angstrom
Nd 0.885 0.885 1.316
Nd 2.656 2.656 12.172
Y 0.885 0.885 9.395
Y 2.656 2.656 4.092
Nb 0.885 0.885 6.123
Nb 2.656 2.656 7.365
CELL_PARAMETERS angstrom
3.541 0.000 0.000
0.000 3.541 0.000
0.000 0.000 13.488
! Formation energy = 2.18 kcal/mol of atoms
! V = 28.2 Å³/atom
! Electronic total energy = -7.01 eV per atom
! Mass density = 6.402 g cm⁻³
! N(E_F) = 4.15 states/eV/f.u.

# 4
! NdY2Nb (GGA-PBE, relaxed); values from VASP
&SYSTEM
  ibrav = 0, nat = 4, ntyp = 3
/
ATOMIC_SPECIES
Nd 144.24 Nd.upf
Y 88.91 Y.upf
Nb 92.91 Nb.upf
ATOMIC_POSITIONS angstrom
Nd 0.000 0.000 0.000
Y 0.000 0.000 14.821
Y 0.000 0.000 20.617
Nb 0.000 0.000 17.719
CELL_PARAMETERS angstrom
1.668 0.963 11.813
-1.668 0.963 11.813
0.000 -1.926 11.813
! Formation energy = 13.26 kcal/mol of atoms
! V = 28.5 Å³/atom
! Electronic total energy = -6.37 eV per atom
! Mass density = 6.054 g cm⁻³
! N(E_F) = 6.14 states/eV/f.u.

# 5
! NdNbZn (GGA-PBE, relaxed); values from VASP
&SYSTEM
  ibrav = 0, nat = 6, ntyp = 3
/
ATOMIC_SPECIES
Nd 144.24 Nd.upf
Nb 92.91 Nb.upf
Zn 65.41 Zn.upf
ATOMIC_POSITIONS angstrom
Nd 0.000 0.000 2.353
Nd 0.000 0.000 10.908
Nb 2.206 0.000 4.863
Nb 2.206 0.000 8.398
Zn 0.000 0.000 6.631
Zn 2.206 0.000 0.000
CELL_PARAMETERS angstrom
2.206 -2.211 0.000
2.206 2.211 0.000
0.000 0.000 13.262
! Formation energy = 3.64 kcal/mol of atoms
! V = 21.6 Å³/atom
! Electronic total energy = -5.21 eV per atom
! Mass density = 7.767 g cm⁻³
! N(E_F) = 2.60 states/eV/f.u.

# 6
! NdZrNb (GGA-PBE, relaxed); values from VASP
&SYSTEM
  ibrav = 0, nat = 6, ntyp = 3
/
ATOMIC_SPECIES
Nd 144.24 Nd.upf
Zr 91.22 Zr.upf
Nb 92.91 Nb.upf
ATOMIC_POSITIONS angstrom
Nd 0.000 0.000 6.041
Nd 0.000 0.000 39.987
Zr 0.000 0.000 18.581
Zr 0.000 0.000 27.448
Nb 0.000 0.000 14.376
Nb 0.000 0.000 31.652
CELL_PARAMETERS angstrom
1.679 0.969 15.343
-1.679 0.969 15.343
0.000 -1.938 15.343
! Formation energy = 5.77 kcal/mol of atoms
! V = 25.0 Å³/atom
! Electronic total energy = -7.55 eV per atom
! Mass density = 7.282 g cm⁻³
! N(E_F) = 3.68 states/eV/f.u.

# 7
! NbNi2 (GGA-PBE, relaxed); values from VASP
&SYSTEM
  ibrav = 0, nat = 12, ntyp = 2
/
ATOMIC_SPECIES
Nb 92.91 Nb.upf
Ni 58.69 Ni.upf
ATOMIC_POSITIONS angstrom
Nb 0.000 2.779 0.439
Nb 0.000 2.779 3.468
Nb 2.407 1.390 4.347
Nb 2.407 1.390 7.376
Ni 0.000 0.000 0.000
Ni 0.000 0.000 3.908
Ni 0.000 1.407 5.862
Ni -1.188 3.465 5.862
Ni 1.219 0.704 1.954
Ni 1.188 3.465 5.862
Ni 3.595 0.704 1.954
Ni 2.407 2.761 1.954
CELL_PARAMETERS angstrom
4.813 0.000 0.000
-2.407 4.169 0.000
0.000 0.000 7.815
! Formation energy = -4.65 kcal/mol of atoms
! V = 13.1 Å³/atom
! Electronic total energy = -7.41 eV per atom
! Mass density = 8.907 g cm⁻³
! N(E_F) = 5.16 states/eV/f.u.

# 8
! NbNi2 (GGA-PBE, relaxed); values from VASP
&SYSTEM
  ibrav = 0, nat = 6, ntyp = 2
/
ATOMIC_SPECIES
Nb 92.91 Nb.upf
Ni 58.69 Ni.upf
ATOMIC_POSITIONS angstrom
Nb 0.850 0.850 0.850
Nb 5.949 5.949 5.949
Ni 3.399 1.700 1.700
Ni 1.700 3.399 1.700
Ni 1.700 1.700 3.399
Ni 3.399 3.399 3.399
CELL_PARAMETERS angstrom
0.000 3.399 3.399
3.399 0.000 3.399
3.399 3.399 0.000
! Formation energy = -4.40 kcal/mol of atoms
! V = 13.1 Å³/atom
! Electronic total energy = -7.40 eV per atom
! Mass density = 8.890 g cm⁻³
! N(E_F) = 6.53 states/eV/f.u.

# 9
! NbNi (GGA-PBE, relaxed); values from VASP
&SYSTEM
  ibrav = 0, nat = 12, ntyp = 2
/
ATOMIC_SPECIES
Nb 92.91 Nb.upf
Ni 58.69 Ni.upf
ATOMIC_POSITIONS angstrom
Nb -1.643 5.006 0.673
Nb 0.989 3.873 0.673
Nb 3.848 1.080 2.018
Nb 0.655 6.719 0.673
Nb 3.514 3.926 2.018
Nb 6.146 2.792 2.018
Ni -0.744 1.996 0.673
Ni -2.402 7.445 0.673
Ni 1.357 1.642 2.018
Ni 3.146 6.157 0.673
Ni 6.905 0.354 2.018
Ni 5.246 5.803 2.018
CELL_PARAMETERS angstrom
9.005 0.000 0.000
-4.503 7.799 0.000
0.000 0.000 2.690
! Formation energy = 6.46 kcal/mol of atoms
! V = 15.7 Å³/atom
! Electronic total energy = -7.65 eV per atom
! Mass density = 7.994 g cm⁻³
! N(E_F) = 1.63 states/eV/f.u.

# 10
! Nb3Ni (GGA-PBE, relaxed); values from VASP
&SYSTEM
  ibrav = 0, nat = 4, ntyp = 2
/
ATOMIC_SPECIES
Nb 92.91 Nb.upf
Ni 58.69 Ni.upf
ATOMIC_POSITIONS angstrom
Nb 0.000 0.000 0.000
Nb 0.000 1.403 2.650
Nb 1.363 1.403 6.687
Ni 1.363 0.000 4.484
CELL_PARAMETERS angstrom
2.726 0.000 0.000
0.000 2.805 0.000
0.000 0.000 9.026
! Formation energy = 5.95 kcal/mol of atoms
! V = 17.3 Å³/atom
! Electronic total energy = -8.74 eV per atom
! Mass density = 8.118 g cm⁻³
! N(E_F) = 4.51 states/eV/f.u.

# 11
! NbNi (GGA-PBE, relaxed); values from VASP
&SYSTEM
  ibrav = 0, nat = 2, ntyp = 2
/
ATOMIC_SPECIES
Nb 92.91 Nb.upf
Ni 58.69 Ni.upf
ATOMIC_POSITIONS angstrom
Nb 0.000 0.000 0.000
Ni 1.401 0.809 2.176
CELL_PARAMETERS angstrom
2.801 0.000 0.000
-1.401 2.426 0.000
0.000 0.000 4.351
! Formation energy = 1.50 kcal/mol of atoms
! V = 14.8 Å³/atom
! Electronic total energy = -7.86 eV per atom
! Mass density = 8.513 g cm⁻³
! N(E_F) = 1.46 states/eV/f.u.

# 12
! NbNi (GGA-PBE, relaxed); values from VASP
&SYSTEM
  ibrav = 0, nat = 4, ntyp = 2
/
ATOMIC_SPECIES
Nb 92.91 Nb.upf
Ni 58.69 Ni.upf
ATOMIC_POSITIONS angstrom
Nb 0.000 2.451 1.225
Nb 2.123 1.226 3.675
Ni 0.000 2.451 3.675
Ni 2.123 1.226 1.225
CELL_PARAMETERS angstrom
4.245 0.000 0.000
-2.123 3.677 0.000
0.000 0.000 4.899
! Formation energy = 16.65 kcal/mol of atoms
! V = 19.1 Å³/atom
! Electronic total energy = -7.20 eV per atom
! Mass density = 6.583 g cm⁻³
! N(E_F) = 2.63 states/eV/f.u.

# 13
! Nb3Ni (GGA-PBE, relaxed); values from VASP
&SYSTEM
  ibrav = 0, nat = 4, ntyp = 2
/
ATOMIC_SPECIES
Nb 92.91 Nb.upf
Ni 58.69 Ni.upf
ATOMIC_POSITIONS angstrom
Nb 0.000 0.000 0.000
Nb 1.383 2.666 0.463
Nb 0.000 2.164 2.972
Ni 1.383 0.000 2.297
CELL_PARAMETERS angstrom
-1.383 4.830 2.509
1.383 -4.830 2.509
1.383 4.830 -2.509
! Formation energy = 1.57 kcal/mol of atoms
! V = 16.8 Å³/atom
! Electronic total energy = -8.93 eV per atom
! Mass density = 8.358 g cm⁻³
! N(E_F) = 3.98 states/eV/f.u.

# 14
! NbNi3 (GGA-PBE, relaxed); values from VASP
&SYSTEM
  ibrav = 0, nat = 4, ntyp = 2
/
ATOMIC_SPECIES
Nb 92.91 Nb.upf
Ni 58.69 Ni.upf
ATOMIC_POSITIONS angstrom
Nb 0.000 0.000 0.000
Ni 0.000 1.846 1.846
Ni 1.846 0.000 1.846
Ni 1.846 1.846 0.000
CELL_PARAMETERS angstrom
3.692 0.000 0.000
0.000 3.692 0.000
0.000 0.000 3.692
! Formation energy = -3.17 kcal/mol of atoms
! V = 12.6 Å³/atom
! Electronic total energy = -6.99 eV per atom
! Mass density = 8.874 g cm⁻³
! N(E_F) = 6.13 states/eV/f.u.

# 15
! NbNi (GGA-PBE, relaxed); values from VASP
&SYSTEM
  ibrav = 0, nat = 4, ntyp = 2
/
ATOMIC_SPECIES
Nb 92.91 Nb.upf
Ni 58.69 Ni.upf
ATOMIC_POSITIONS angstrom
Nb 0.000 0.938 1.055
Nb 1.868 0.938 3.123
Ni 1.868 0.938 -1.020
Ni 0.000 0.938 5.198
CELL_PARAMETERS angstrom
-1.868 1.877 4.178
1.868 -1.877 4.178
1.868 1.877 -4.178
! Formation energy = -0.37 kcal/mol of atoms
! V = 14.6 Å³/atom
! Electronic total energy = -7.94 eV per atom
! Mass density = 8.595 g cm⁻³
! N(E_F) = 2.90 states/eV/f.u.

# 16
! Nb5Ni (GGA-PBE, relaxed); values from VASP
&SYSTEM
  ibrav = 0, nat = 6, ntyp = 2
/
ATOMIC_SPECIES
Nb 92.91 Nb.upf
Ni 58.69 Ni.upf
ATOMIC_POSITIONS angstrom
Nb 0.000 0.000 0.000
Nb 2.299 4.525 1.663
Nb 2.299 2.186 0.000
Nb 2.299 -2.186 0.000
Nb 2.299 -4.525 1.663
Ni 2.299 0.000 1.663
CELL_PARAMETERS angstrom
2.299 -6.721 0.000
2.299 6.721 0.000
0.000 0.000 3.327
! Formation energy = -0.72 kcal/mol of atoms
! V = 17.1 Å³/atom
! Relative energy among the computed polymorphs = 0.00 eV/f.u.
! Electronic total energy = -9.39 eV per atom
! Mass density = 8.451 g cm⁻³
! N(E_F) = 5.76 states/eV/f.u.

# 17
! NbNi (GGA-PBE, relaxed); values from VASP
&SYSTEM
  ibrav = 0, nat = 8, ntyp = 2
/
ATOMIC_SPECIES
Nb 92.91 Nb.upf
Ni 58.69 Ni.upf
ATOMIC_POSITIONS angstrom
Nb 7.870 1.131 0.000
Nb 1.131 1.667 0.000
Nb 3.637 3.101 1.343
Nb -3.101 3.637 1.343
Ni 3.540 0.779 0.000
Ni 3.989 -1.229 1.343
Ni 0.779 5.997 0.000
Ni 1.229 3.989 1.343
CELL_PARAMETERS angstrom
-4.768 4.768 1.343
4.768 -4.768 1.343
4.768 4.768 -1.343
! Formation energy = 5.55 kcal/mol of atoms
! V = 15.3 Å³/atom
! Electronic total energy = -7.68 eV per atom
! Mass density = 8.247 g cm⁻³
! N(E_F) = 2.26 states/eV/f.u.

# 18
! Nb5Ni (GGA-PBE, relaxed); values from VASP
&SYSTEM
  ibrav = 0, nat = 24, ntyp = 2
/
ATOMIC_SPECIES
Nb 92.91 Nb.upf
Ni 58.69 Ni.upf
ATOMIC_POSITIONS angstrom
Nb 9.347 5.537 5.537
Nb 4.465 4.465 2.275
Nb 4.465 2.275 4.465
Nb 6.655 4.465 4.465
Nb 2.561 2.561 2.561
Nb 6.370 6.370 2.561
Nb 6.370 2.561 6.370
Nb 7.442 7.442 5.252
Nb 7.442 5.252 7.442
Nb 9.632 7.442 7.442
Nb 2.275 4.465 4.465
Nb 4.465 6.655 4.465
Nb 4.465 4.465 6.655
Nb 5.537 9.347 5.537
Nb 5.537 5.537 9.347
Nb 9.347 9.347 9.347
Nb 5.252 7.442 7.442
Nb 7.442 9.632 7.442
Nb 7.442 7.442 9.632
Nb 2.561 6.370 6.370
Ni 0.000 0.000 0.000
Ni 2.977 2.977 0.000
Ni 2.977 0.000 2.977
Ni 0.000 2.977 2.977
CELL_PARAMETERS angstrom
0.000 5.954 5.954
5.954 0.000 5.954
5.954 5.954 0.000
! Formation energy = 2.58 kcal/mol of atoms
! V = 17.6 Å³/atom
! Relative energy among the computed polymorphs = 0.86 eV/f.u.
! Electronic total energy = -9.24 eV per atom
! Mass density = 8.234 g cm⁻³
! N(E_F) = 8.24 states/eV/f.u.

# 19
! NbNi (GGA-PBE, relaxed); values from VASP
&SYSTEM
  ibrav = 0, nat = 6, ntyp = 2
/
ATOMIC_SPECIES
Nb 92.91 Nb.upf
Ni 58.69 Ni.upf
ATOMIC_POSITIONS angstrom
Nb 0.000 0.000 0.000
Nb 0.000 2.604 1.200
Nb 0.000 5.562 1.200
Ni 2.039 -1.177 1.341
Ni 2.039 1.177 1.341
Ni 0.000 0.000 2.581
CELL_PARAMETERS angstrom
-2.039 4.083 2.671
2.039 -4.083 2.671
2.039 4.083 -2.671
! Formation energy = -0.73 kcal/mol of atoms
! V = 14.8 Å³/atom
! Electronic total energy = -7.96 eV per atom
! Mass density = 8.493 g cm⁻³
! N(E_F) = 2.04 states/eV/f.u.

# 20
! NbNi (GGA-PBE, relaxed); values from VASP
&SYSTEM
  ibrav = 0, nat = 12, ntyp = 2
/
ATOMIC_SPECIES
Nb 92.91 Nb.upf
Ni 58.69 Ni.upf
ATOMIC_POSITIONS angstrom
Nb 0.000 1.681 3.361
Nb 0.000 5.042 3.361
Nb 1.681 3.361 0.000
Nb 3.361 0.000 1.681
Nb 3.361 0.000 5.042
Nb 5.042 3.361 0.000
Ni 0.000 3.361 1.681
Ni 0.000 3.361 5.042
Ni 1.681 0.000 3.361
Ni 3.361 1.681 0.000
Ni 3.361 5.042 0.000
Ni 5.042 0.000 3.361
CELL_PARAMETERS angstrom
6.723 0.000 0.000
0.000 6.723 0.000
0.000 0.000 6.723
! Formation energy = 29.67 kcal/mol of atoms
! V = 25.3 Å³/atom
! Electronic total energy = -6.64 eV per atom
! Mass density = 4.971 g cm⁻³
! N(E_F) = 2.61 states/eV/f.u.

# 21
! Nb2Ni13 (GGA-PBE, relaxed); values from VASP
&SYSTEM
  ibrav = 0, nat = 15, ntyp = 2
/
ATOMIC_SPECIES
Nb 92.91 Nb.upf
Ni 58.69 Ni.upf
ATOMIC_POSITIONS angstrom
Nb 0.000 0.000 2.632
Nb 0.000 0.000 16.091
Ni 0.000 0.000 0.000
Ni 0.000 -1.407 4.689
Ni -1.218 0.703 4.689
Ni 0.000 -1.365 7.083
Ni -1.182 0.682 7.083
Ni -1.182 -0.682 11.640
Ni -1.218 -0.703 14.034
Ni 1.218 0.703 4.689
Ni 1.182 0.682 7.083
Ni 1.182 -0.682 11.640
Ni 0.000 1.365 11.640
Ni 1.218 -0.703 14.034
Ni 0.000 1.407 14.034
CELL_PARAMETERS angstrom
3.139 1.812 6.241
-3.139 1.812 6.241
0.000 -3.624 6.241
! Formation energy = 9.10 kcal/mol of atoms
! V = 14.2 Å³/atom
! Electronic total energy = -5.96 eV per atom
! Mass density = 7.398 g cm⁻³
! N(E_F) = 19.50 states/eV/f.u.

# 22
! NbNi (GGA-PBE, relaxed); values from VASP
&SYSTEM
  ibrav = 0, nat = 8, ntyp = 2
/
ATOMIC_SPECIES
Nb 92.91 Nb.upf
Ni 58.69 Ni.upf
ATOMIC_POSITIONS angstrom
Nb 1.070 1.070 -1.070
Nb 1.070 -1.070 1.070
Nb -1.070 1.070 1.070
Nb 2.725 2.725 2.725
Ni 2.488 2.488 -2.488
Ni 2.488 -2.488 2.488
Ni 1.307 1.307 1.307
Ni -2.488 2.488 2.488
CELL_PARAMETERS angstrom
-3.795 3.795 3.795
3.795 -3.795 3.795
3.795 3.795 -3.795
! Formation energy = 29.00 kcal/mol of atoms
! V = 27.3 Å³/atom
! Electronic total energy = -6.67 eV per atom
! Mass density = 4.606 g cm⁻³
! N(E_F) = 1.49 states/eV/f.u.

# 23
! Nb3Ni (GGA-PBE, relaxed); values from VASP
&SYSTEM
  ibrav = 0, nat = 4, ntyp = 2
/
ATOMIC_SPECIES
Nb 92.91 Nb.upf
Ni 58.69 Ni.upf
ATOMIC_POSITIONS angstrom
Nb 0.000 0.000 0.000
Nb 1.605 1.605 1.605
Nb 4.815 4.815 4.815
Ni 3.210 3.210 3.210
CELL_PARAMETERS angstrom
0.000 3.210 3.210
3.210 0.000 3.210
3.210 3.210 0.000
! Formation energy = 0.28 kcal/mol of atoms
! V = 16.5 Å³/atom
! Electronic total energy = -8.99 eV per atom
! Mass density = 8.472 g cm⁻³
! N(E_F) = 4.42 states/eV/f.u.

# 24
! NbNi3 (GGA-PBE, relaxed); values from VASP
&SYSTEM
  ibrav = 0, nat = 8, ntyp = 2
/
ATOMIC_SPECIES
Nb 92.91 Nb.upf
Ni 58.69 Ni.upf
ATOMIC_POSITIONS angstrom
Nb 1.063 1.281 0.689
Nb 3.188 3.843 3.887
Ni 1.063 0.003 3.013
Ni 1.063 2.559 3.013
Ni 1.063 3.843 0.839
Ni 3.188 1.281 3.738
Ni 3.188 2.566 1.563
Ni 3.188 5.121 1.563
CELL_PARAMETERS angstrom
4.251 0.000 0.000
0.000 5.124 0.000
0.000 0.000 4.576
! Formation energy = -6.87 kcal/mol of atoms
! V = 12.5 Å³/atom
! Electronic total energy = -7.15 eV per atom
! Mass density = 8.962 g cm⁻³
! N(E_F) = 2.94 states/eV/f.u.